Record 1
A relaxed structure of Cd5Re3, computed with PBE.

a b c (Å): 8.515 8.515 4.953
angles (deg): 90.00 90.00 120.00
Sites, in units of the cell vectors:
Cd: 0.000 0.225 0.250
Cd: 0.000 0.775 0.750
Cd: 0.225 0.000 0.250
Cd: 0.225 0.225 0.750
Cd: 0.333 0.667 0.000
Cd: 0.333 0.667 0.500
Cd: 0.667 0.333 0.000
Cd: 0.667 0.333 0.500
Cd: 0.775 0.000 0.750
Cd: 0.775 0.775 0.250
Re: 0.000 0.434 0.750
Re: 0.000 0.566 0.250
Re: 0.434 0.000 0.750
Re: 0.434 0.434 0.250
Re: 0.566 0.000 0.250
Re: 0.566 0.566 0.750

Properties
Formation energy from the elements   6.88 eV/f.u.

=====

Record 2
A relaxed structure of CdSe2O5, computed with PBE.

a b c (Å): 7.083 7.083 6.235
angles (deg): 105.75 105.75 108.49
Sites, in units of the cell vectors:
Cd: 0.087 0.913 0.750
Cd: 0.913 0.087 0.250
Se: 0.206 0.486 0.867
Se: 0.486 0.206 0.367
Se: 0.514 0.794 0.633
Se: 0.794 0.514 0.133
O: 0.021 0.578 0.768
O: 0.090 0.221 0.670
O: 0.221 0.090 0.170
O: 0.418 0.582 0.750
O: 0.422 0.979 0.732
O: 0.578 0.021 0.268
O: 0.582 0.418 0.250
O: 0.779 0.910 0.830
O: 0.910 0.779 0.330
O: 0.979 0.422 0.232

Properties
E above lowest polymorph   5 meV per atom
E_form (uncorrected)   -0.89 eV per atom

=====

Record 3
A relaxed structure of CeOs2W, computed with PBE.

a b c (Å): 3.066 3.066 7.593
angles (deg): 90.00 90.00 90.00
Sites, in units of the cell vectors:
Ce: 0.000 0.000 0.000
Os: 0.500 0.500 0.295
Os: 0.500 0.500 0.705
W: 0.000 0.000 0.500

Properties
Formation energy from the elements   -0.13 eV/f.u.
E above lowest polymorph   0 meV per atom

=====

Record 4
A relaxed structure of LiSc2Ta, computed with PBE.

a b c (Å): 5.112 5.112 5.112
angles (deg): 128.09 128.09 76.49
Sites, in units of the cell vectors:
Li: 0.000 0.000 0.000
Sc: 0.250 0.750 0.500
Sc: 0.750 0.250 0.500
Ta: 0.500 0.500 0.000

Properties
Formation energy from the elements   1.44 eV/f.u.
E above lowest polymorph   228 meV per atom

=====

Record 5
A relaxed structure of TbNp2N3, computed with PBE.

a b c (Å): 7.712 7.712 7.712
angles (deg): 153.97 153.97 37.14
Sites, in units of the cell vectors:
Tb: 0.000 0.000 0.000
Np: 0.334 0.334 0.000
Np: 0.666 0.666 0.000
N: 0.168 0.168 0.000
N: 0.500 0.500 0.000
N: 0.832 0.832 0.000

Properties
E_form (uncorrected)   -1.28 eV per atom

=====

Record 6
A relaxed structure of Tb6Pr2Tm, computed with PBE.

a b c (Å): 10.220 10.220 3.458
angles (deg): 99.26 99.26 58.73
Sites, in units of the cell vectors:
Tb: 0.148 0.522 0.335
Tb: 0.193 0.807 0.000
Tb: 0.478 0.852 0.665
Tb: 0.522 0.148 0.335
Tb: 0.807 0.193 0.000
Tb: 0.852 0.478 0.665
Pr: 0.168 0.168 0.167
Pr: 0.832 0.832 0.833
Tm: 0.500 0.500 0.500

Properties
Formation energy from the elements   1.77 eV/f.u.
E above lowest polymorph   88 meV per atom

=====

Record 7
A relaxed structure of LiPd2S, computed with PBE.

a b c (Å): 8.283 8.283 8.283
angles (deg): 143.93 143.93 51.93
Sites, in units of the cell vectors:
Li: 0.000 0.000 0.000
Li: 0.750 0.250 0.500
Pd: 0.336 0.625 0.211
Pd: 0.375 0.586 0.711
Pd: 0.414 0.125 0.789
Pd: 0.875 0.664 0.289
S: 0.250 0.750 0.500
S: 0.500 0.500 0.000

Properties
E_form (uncorrected)   -0.25 eV per atom

=====

Record 8
A relaxed structure of SrCdF, computed with PBE.

a b c (Å): 4.188 4.361 8.415
angles (deg): 90.00 90.00 90.00
Sites, in units of the cell vectors:
Sr: 0.250 0.250 0.162
Sr: 0.750 0.750 0.838
Cd: 0.250 0.750 0.495
Cd: 0.750 0.250 0.505
F: 0.250 0.750 0.002
F: 0.750 0.250 0.998

Properties
E above lowest polymorph   40 meV per atom
E_form (uncorrected)   -2.02 eV per atom

=====

Number 1: Fermi-level density of states 7.4 states/eV/f.u., total energy -70.08 eV for the cell shown. Number 2: Fermi-level density of states 0.0 states/eV/f.u., total energy -79.63 eV for the cell shown. Number 3: Fermi-level density of states 4.1 states/eV/f.u., total energy -41.48 eV for the cell shown. Number 4: Fermi-level density of states 4.8 states/eV/f.u., total energy -24.99 eV for the cell shown. Number 5: Fermi-level density of states 9.7 states/eV/f.u., total energy -63.17 eV for the cell shown. Number 6: Fermi-level density of states 19.5 states/eV/f.u., total energy -40.04 eV for the cell shown. Number 7: Fermi-level density of states 0.8 states/eV/f.u., total energy -34.82 eV for the cell shown. Number 8: Fermi-level density of states 1.4 states/eV/f.u., total energy -21.04 eV for the cell shown.